No. 1
Material: ZrCoMoAu2
Method: DFT, PBE-GGA
State: relaxed

Unit cell a=5.050 b=5.050 c=4.778 alpha=90.00 beta=90.00 gamma=90.00
Space group P4/mmm (No. 123)
Unique sites:
Zr1 0.000 0.000 0.000 (multiplicity 1)
Co1 0.500 0.500 0.000 (multiplicity 1)
Mo1 0.000 0.000 0.500 (multiplicity 1)
Au1 0.000 0.500 0.500 (multiplicity 2)

Computed properties:
Total energy (eV/f.u.): -25.693
Formation energy from the elements (meV per atom): 1469.4
D(E_F) (states/eV/atom): 2.108



No. 2
Material: CoAuN3
Method: DFT, PBE-GGA
State: relaxed

Unit cell a=3.714 b=3.714 c=3.714 alpha=90.00 beta=90.00 gamma=90.00
Space group Pm-3m (No. 221)
Unique sites:
Co1 0.000 0.000 0.000 (multiplicity 1)
Au1 0.500 0.500 0.500 (multiplicity 1)
N1 0.000 0.000 0.500 (multiplicity 3)

Computed properties:
Total energy (eV/f.u.): -26.291
D(E_F) (states/eV/atom): 0.975
ΔE_f (raw) (kJ per mole of atoms): 175.0



No. 3
Material: CoAuN2
Method: DFT, PBE-GGA
State: relaxed

Unit cell a=2.8648 b=2.8648 c=18.3551 alpha=90.00 beta=90.00 gamma=120.00
Space group R-3m (No. 166, hexagonal axes)
Unique sites:
Co1 0.0000 0.0000 0.0000 (multiplicity 3)
Au1 0.0000 0.0000 0.5000 (multiplicity 3)
N1 0.0000 0.0000 0.3874 (multiplicity 6)

Computed properties:
Total energy (eV/f.u.): -24.536
Energy above the lowest structure with this stoichiometry (meV/atom): 0
D(E_F) (states/eV/atom): 0.823
ΔE_f (raw) (kJ per mole of atoms): 60.2



Calculated volume readings, ordered: 24.4 10.2 10.9 A^3/atom